# CoAg2C meta-GGA SCAN single point on PBEsol structure
data_CoAg2C
_chemical_formula_sum 'Co4 Ag8 C4'
_space_group_name_H-M_alt 'I -4 2 d'
_space_group_IT_number 122
_space_group_name_Hall 'I -4 2bw'
_cell_length_a 3.5398
_cell_length_b 3.5398
_cell_length_c 17.6529
_cell_angle_alpha 90.00
_cell_angle_beta 90.00
_cell_angle_gamma 90.00
loop_
_atom_site_label
_atom_site_type_symbol
_atom_site_fract_x
_atom_site_fract_y
_atom_site_fract_z
Co1 Co 0.0000 0.0000 0.0000
Ag1 Ag 0.2443 0.2500 0.6250
C1 C 0.0000 0.0000 0.5000
# - E_form: 1.6099 eV per atom
# - Size of the total moment: 7.80 Bohr magnetons per cell
# - N(E_F): 0.56 states/eV/atom